(1)
Li2AcSb: relaxed, PBE.

Summary:
E_form (uncorrected) in meV per atom: -456.6
Total magnetic moment in μB/f.u.: 0.00

abc: 4.735 4.735 5.148
angles: 90.00 90.00 90.00
Fractional coordinates of all 4 atoms:
Li (0.000, 0.500, 0.000)
Li (0.500, 0.000, 0.000)
Ac (0.000, 0.000, 0.500)
Sb (0.500, 0.500, 0.500)



(2)
Sr2CaCl: relaxed, PBE.

Summary:
E_form (uncorrected) in meV per atom: -412.1
Total magnetic moment in μB/f.u.: 0.00

abc: 4.261 5.841 7.126
angles: 90.00 90.00 90.00
Fractional coordinates of all 4 atoms:
Sr (0.000, 0.000, 0.000)
Sr (0.500, 0.000, 0.500)
Ca (0.000, 0.500, 0.500)
Cl (0.500, 0.500, 0.000)



(3)
YCd2Bi: relaxed, PBE.

Summary:
Total magnetic moment in μB/f.u.: 0.00
Formation energy in eV/atom: -0.182

abc: 6.842 6.842 6.842
angles: 101.51 101.51 126.93
Fractional coordinates of all 8 atoms:
Y (0.000, 0.000, 0.000)
Y (0.750, 0.250, 0.500)
Cd (0.140, 0.125, 0.515)
Cd (0.375, 0.860, 0.985)
Cd (0.610, 0.625, 0.485)
Cd (0.875, 0.390, 0.015)
Bi (0.250, 0.750, 0.500)
Bi (0.500, 0.500, 0.000)



(4)
NaTaAsS2: relaxed, PBE.

Summary:
E_form (uncorrected) in meV per atom: 287.4
Total magnetic moment in μB/f.u.: 3.18

abc: 4.696 4.696 7.162
angles: 90.00 90.00 90.00
Fractional coordinates of all 5 atoms:
Na (0.000, 0.000, 0.000)
Ta (0.000, 0.000, 0.500)
As (0.500, 0.500, 0.000)
S (0.000, 0.500, 0.500)
S (0.500, 0.000, 0.500)



(5)
SrPm2Se3: relaxed, PBE.

Summary:
E_form (uncorrected) in meV per atom: -1879.8
Total magnetic moment in μB/f.u.: 0.00

abc: 7.417 7.417 7.417
angles: 146.79 132.08 59.54
Fractional coordinates of all 6 atoms:
Sr (0.000, 0.000, 0.000)
Pm (0.335, 0.335, 0.000)
Pm (0.665, 0.665, 0.000)
Se (0.171, 0.671, 0.500)
Se (0.500, 0.000, 0.500)
Se (0.829, 0.329, 0.500)



(6)
TbEr2ThP4: relaxed, PBE.

Summary:
Total magnetic moment in μB/f.u.: 0.00
Formation energy in eV/atom: -1.611

abc: 6.967 4.037 6.978
angles: 90.00 109.49 90.00
Fractional coordinates of all 8 atoms:
Tb (0.000, 0.000, 0.000)
Er (0.500, 0.000, 0.500)
Er (0.500, 0.500, 0.000)
Th (0.000, 0.500, 0.500)
P (0.255, 0.500, 0.250)
P (0.258, 0.000, 0.755)
P (0.742, 0.000, 0.245)
P (0.745, 0.500, 0.750)



(7)
ZnFe2Cl: relaxed, PBE.

Summary:
E_form (uncorrected) in meV per atom: 319.8
Total magnetic moment in μB/f.u.: 5.76

abc: 2.857 2.857 8.109
angles: 90.00 90.00 117.44
Fractional coordinates of all 4 atoms:
Zn (0.000, 0.000, 0.000)
Fe (0.500, 0.500, 0.257)
Fe (0.500, 0.500, 0.743)
Cl (0.000, 0.000, 0.500)



(8)
Li2InPb5: relaxed, PBE.

Summary:
Total magnetic moment in μB/f.u.: 0.00
Formation energy in eV/atom: 0.000

abc: 7.963 7.963 17.004
angles: 90.00 90.00 154.55
Fractional coordinates of all 16 atoms:
Li (0.066, 0.934, 0.657)
Li (0.066, 0.934, 0.843)
Li (0.934, 0.066, 0.157)
Li (0.934, 0.066, 0.343)
In (0.095, 0.905, 0.250)
In (0.905, 0.095, 0.750)
Pb (0.088, 0.912, 0.053)
Pb (0.088, 0.912, 0.447)
Pb (0.232, 0.768, 0.750)
Pb (0.294, 0.706, 0.080)
Pb (0.294, 0.706, 0.420)
Pb (0.706, 0.294, 0.580)
Pb (0.706, 0.294, 0.920)
Pb (0.768, 0.232, 0.250)
Pb (0.912, 0.088, 0.553)
Pb (0.912, 0.088, 0.947)



(9)
PrPu2ThP4: relaxed, PBE.

Summary:
Total magnetic moment in μB/f.u.: 0.11
Formation energy in eV/atom: -1.335

abc: 7.058 4.101 7.089
angles: 90.00 109.73 90.00
Fractional coordinates of all 8 atoms:
Pr (0.000, 0.000, 0.000)
Pu (0.500, 0.000, 0.500)
Pu (0.500, 0.500, 0.000)
Th (0.000, 0.500, 0.500)
P (0.261, 0.000, 0.752)
P (0.264, 0.500, 0.259)
P (0.736, 0.500, 0.741)
P (0.739, 0.000, 0.248)



(10)
CaBi2PtO: relaxed, PBE.

Summary:
E_form (uncorrected) in meV per atom: 1233.6
Total magnetic moment in μB/f.u.: 0.00

abc: 5.830 5.830 4.920
angles: 90.00 90.00 90.00
Fractional coordinates of all 5 atoms:
Ca (0.000, 0.000, 0.000)
Bi (0.000, 0.500, 0.000)
Bi (0.500, 0.000, 0.000)
Pt (0.000, 0.000, 0.500)
O (0.500, 0.500, 0.500)



(11)
KMn3Pb: relaxed, PBE.

Summary:
Total magnetic moment in μB/f.u.: 12.27
Formation energy in eV/atom: 1.925

abc: 5.090 5.090 5.090
angles: 90.00 90.00 90.00
Fractional coordinates of all 5 atoms:
K (0.000, 0.000, 0.000)
Mn (0.000, 0.000, 0.500)
Mn (0.000, 0.500, 0.000)
Mn (0.500, 0.000, 0.000)
Pb (0.500, 0.500, 0.500)



(12)
K2ZrSe: relaxed, PBE.

Summary:
E_form (uncorrected) in meV per atom: -145.4
Total magnetic moment in μB/f.u.: 1.88

abc: 5.185 3.871 9.043
angles: 90.00 106.59 90.00
Fractional coordinates of all 4 atoms:
K (0.149, 0.000, 0.299)
K (0.851, 0.000, 0.701)
Zr (0.500, 0.500, 0.000)
Se (0.000, 0.500, 0.000)



(13)
Rb3Y3GeO8: relaxed, PBE.

Summary:
E_form (uncorrected) in meV per atom: -2443.0
Total magnetic moment in μB/f.u.: 0.00

abc: 7.687 7.687 7.687
angles: 52.27 52.27 52.27
Fractional coordinates of all 15 atoms:
Rb (0.000, 0.500, 0.500)
Rb (0.500, 0.000, 0.500)
Rb (0.500, 0.500, 0.000)
Y (0.000, 0.000, 0.500)
Y (0.000, 0.500, 0.000)
Y (0.500, 0.000, 0.000)
Ge (0.500, 0.500, 0.500)
O (0.224, 0.224, 0.224)
O (0.260, 0.701, 0.701)
O (0.299, 0.299, 0.740)
O (0.299, 0.740, 0.299)
O (0.701, 0.260, 0.701)
O (0.701, 0.701, 0.260)
O (0.740, 0.299, 0.299)
O (0.776, 0.776, 0.776)



(14)
Ca2Si4NiIr3: relaxed, PBE.

Summary:
E_form (uncorrected) in meV per atom: -803.8
Total magnetic moment in μB/f.u.: 0.00

abc: 4.102 4.102 9.977
angles: 90.00 90.00 90.00
Fractional coordinates of all 10 atoms:
Ca (0.000, 0.500, 0.249)
Ca (0.500, 0.000, 0.751)
Si (0.000, 0.000, 0.500)
Si (0.000, 0.500, 0.875)
Si (0.500, 0.000, 0.125)
Si (0.500, 0.500, 0.500)
Ni (0.500, 0.500, 0.000)
Ir (0.000, 0.000, 0.000)
Ir (0.000, 0.500, 0.630)
Ir (0.500, 0.000, 0.370)



(15)
NiHgW2: relaxed, PBE.

Summary:
Total magnetic moment in μB/f.u.: 0.00
Formation energy in eV/atom: 0.484

abc: 2.784 2.784 8.138
angles: 90.00 90.00 90.00
Fractional coordinates of all 4 atoms:
Ni (0.000, 0.000, 0.000)
Hg (0.000, 0.000, 0.500)
W (0.500, 0.500, 0.216)
W (0.500, 0.500, 0.784)



(16)
BaZnCoH6: relaxed, PBE.

Summary:
Total magnetic moment in μB/f.u.: 0.00
E_tot in Ry/atom: -0.266

abc: 4.630 4.630 4.937
angles: 90.00 90.00 120.00
Fractional coordinates of all 9 atoms:
Ba (0.000, 0.000, 0.000)
Zn (0.333, 0.667, 0.500)
Co (0.667, 0.333, 0.500)
H (0.519, 0.038, 0.285)
H (0.519, 0.038, 0.715)
H (0.519, 0.481, 0.285)
H (0.519, 0.481, 0.715)
H (0.962, 0.481, 0.285)
H (0.962, 0.481, 0.715)



(17)
HfScZnNi: relaxed, PBE.

Summary:
Total magnetic moment in μB/f.u.: 0.00
Formation energy in eV/atom: -0.373

abc: 3.254 3.254 6.540
angles: 90.00 90.00 90.00
Fractional coordinates of all 4 atoms:
Hf (0.000, 0.000, 0.000)
Sc (0.000, 0.000, 0.474)
Zn (0.500, 0.500, 0.740)
Ni (0.500, 0.500, 0.216)



(18)
Tl4CuP: relaxed, PBE.

Summary:
Total magnetic moment in μB/f.u.: 0.00
Formation energy in eV/atom: 0.699

abc: 6.278 6.278 6.278
angles: 60.00 60.00 60.00
Fractional coordinates of all 6 atoms:
Tl (0.125, 0.125, 0.125)
Tl (0.125, 0.125, 0.624)
Tl (0.125, 0.624, 0.125)
Tl (0.624, 0.125, 0.125)
Cu (0.750, 0.750, 0.750)
P (0.500, 0.500, 0.500)



(19)
Th8P3SeS4: relaxed, PBE.

Summary:
E_form (uncorrected) in meV per atom: -1721.2
Total magnetic moment in μB/f.u.: 0.00

abc: 8.167 8.167 8.167
angles: 60.57 60.57 60.57
Fractional coordinates of all 16 atoms:
Th (0.242, 0.756, 0.756)
Th (0.244, 0.244, 0.758)
Th (0.244, 0.758, 0.244)
Th (0.249, 0.249, 0.249)
Th (0.751, 0.751, 0.751)
Th (0.756, 0.242, 0.756)
Th (0.756, 0.756, 0.242)
Th (0.758, 0.244, 0.244)
P (0.000, 0.000, 0.500)
P (0.000, 0.500, 0.000)
P (0.500, 0.000, 0.000)
Se (0.500, 0.500, 0.500)
S (0.000, 0.000, 0.000)
S (0.000, 0.500, 0.500)
S (0.500, 0.000, 0.500)
S (0.500, 0.500, 0.000)



(20)
CoPb2W: relaxed, PBE.

Summary:
Total magnetic moment in μB/f.u.: 0.00
Formation energy in eV/atom: 1.306

abc: 6.035 6.035 6.035
angles: 103.82 103.82 121.48
Fractional coordinates of all 8 atoms:
Co (0.000, 0.000, 0.000)
Co (0.750, 0.250, 0.500)
Pb (0.091, 0.625, 0.966)
Pb (0.375, 0.341, 0.466)
Pb (0.659, 0.125, 0.034)
Pb (0.875, 0.909, 0.534)
W (0.250, 0.750, 0.500)
W (0.500, 0.500, 0.000)